DFT (GGA-PBE) results for an optimized crystal structure of Y2TmCdC.

Lattice parameters (Å, degrees): 4.9625 4.9625 4.8171 90.00 90.00 90.00
Fractional coordinates of all 5 atoms:
Y 0.0000 0.5000 0.0000
Y 0.5000 0.0000 0.0000
Tm 0.0000 0.0000 0.5000
Cd 0.5000 0.5000 0.5000
C 0.0000 0.0000 0.0000

Output
Raw total energy: -5.847 eV/atom